A plane-wave DFT calculation with GGA-PBEsol was carried out for a geometry-optimized Sc2ReRu structure.

Results
The space group is R-3m (166). The value obtained for the total energy is -106.30 eV for the cell shown. The volume comes out at 17.055 A^3/atom. The density of states at the Fermi level is 7.1 states/eV per cell.

Lattice parameters (Å, degrees): 2.910 2.910 27.916 90.00 90.00 120.00
Sites, in units of the cell vectors:
1 Sc 0.000 0.000 0.094
2 Sc 0.000 0.000 0.906
3 Sc 0.333 0.667 0.573
4 Sc 0.333 0.667 0.760
5 Sc 0.667 0.333 0.240
6 Sc 0.667 0.333 0.427
7 Re 0.000 0.000 0.000
8 Re 0.333 0.667 0.667
9 Re 0.667 0.333 0.333
10 Ru 0.000 0.000 0.500
11 Ru 0.333 0.667 0.167
12 Ru 0.667 0.333 0.833